(1)
The following is a GGA-PBE calculation of an optimized crystal structure of CoHgP2, from Alexandria.

E_form   5.36 kcal/mol of atoms

a = 2.9734 Å, b = 2.9734 Å, c = 7.5364 Å
α = 90.00°, β = 90.00°, γ = 90.00°
Space group P4mm (No. 99)
Inequivalent atoms, fractional coordinates:
1 Co 0.0000 0.0000 0.0000 (multiplicity 1)
2 Hg 0.5000 0.5000 0.2949 (multiplicity 1)
3 P 0.0000 0.0000 0.6960 (multiplicity 1)
4 P 0.5000 0.5000 0.8777 (multiplicity 1)

---

(2)
The following is a GGA-PBE calculation of an optimized crystal structure of La3PmTm2Se6, from Alexandria.

ΔE_f (raw)   -1.868 eV/atom

a = 7.2002 Å, b = 12.5095 Å, c = 7.3559 Å
α = 90.00°, β = 109.13°, γ = 90.00°
Space group C2/m (No. 12)
Inequivalent atoms, fractional coordinates:
1 La 0.0000 0.0000 0.0000 (multiplicity 2)
2 La 0.0000 0.3385 0.0000 (multiplicity 4)
3 Pm 0.0000 0.5000 0.5000 (multiplicity 2)
4 Tm 0.0000 0.1668 0.5000 (multiplicity 4)
5 Se 0.2318 0.0000 0.7274 (multiplicity 4)
6 Se 0.2492 0.3280 0.7322 (multiplicity 8)

---

(3)
The following is a GGA-PBE calculation of an optimized crystal structure of BaLa2PmHg4, from Alexandria.

E_form   -10.70 kcal/mol of atoms

a = 5.5648 Å, b = 5.5648 Å, c = 27.6754 Å
α = 90.00°, β = 90.00°, γ = 120.00°
Space group R-3m (No. 166, hexagonal axes)
Inequivalent atoms, fractional coordinates:
1 Ba 0.0000 0.0000 0.0000 (multiplicity 3)
2 La 0.0000 0.0000 0.2488 (multiplicity 6)
3 Pm 0.0000 0.0000 0.5000 (multiplicity 3)
4 Hg 0.0000 0.0000 0.1298 (multiplicity 6)
5 Hg 0.0000 0.0000 0.3829 (multiplicity 6)

---

no.,density of states at the Fermi level (states/eV per cell),electronic total energy (hartree per atom)
1,3.2,-0.159
2,12.5,-0.220
3,23.1,-0.099